CsNb2S4 after structural relaxation, computed with PBE-GGA.

V: 22.302 Å³ per atom
crystal system: trigonal
energy above the lowest structure with this stoichiometry: 1.31 eV per formula unit
formation energy (no corrections): -7.2 eV per formula unit
SG: No. 164

```
7
Lattice="-0.748 2.444 2.353 -0.357 -3.359 0.811 14.129 -0.333 4.836" Properties=species:S:1:pos:R:3 pbc="T T T"
Nb 3.040 -0.072 1.040
Nb 11.090 -0.261 3.796
S 1.143 -1.463 1.883
S 8.999 0.283 5.131
Cs 7.065 -0.166 2.418
S 11.882 0.215 6.117
S 4.025 -1.531 2.869
```

***

CrAgCl2 after structural relaxation, computed with PBE-GGA.

V: 22.137 Å³ per atom
crystal system: orthorhombic
energy above the lowest structure with this stoichiometry: 0.90 eV per formula unit
formation energy (no corrections): -0.7 eV per formula unit
SG: No. 47

```
4
Lattice="3.804 0.000 0.000 0.000 6.310 0.000 0.000 0.000 3.689" Properties=species:S:1:pos:R:3 pbc="T T T"
Cl 0.000 0.000 0.000
Cl 1.902 3.155 0.000
Cr 1.902 0.000 1.844
Ag 0.000 3.155 1.844
```

***

KSrP2O after structural relaxation, computed with PBE-GGA.

V: 27.172 Å³ per atom
crystal system: tetragonal
energy above the lowest structure with this stoichiometry: 2.11 eV per formula unit
formation energy (no corrections): 2.8 eV per formula unit
SG: No. 123

```
5
Lattice="-2.757 2.353 -4.000 -3.178 -4.348 -0.367 -2.921 1.872 3.115" Properties=species:S:1:pos:R:3 pbc="T T T"
K 0.000 0.000 0.000
O -1.461 0.936 1.558
P -1.379 1.177 -2.000
P -1.589 -2.174 -0.184
Sr -4.428 -0.061 -0.626
```

***

ErGa4Ag4 after structural relaxation, computed with PBE-GGA.

V: 19.523 Å³ per atom
crystal system: tetragonal
DFT formation energy: -1.0 eV/f.u.
SG: No. 137

```
18
Lattice="6.195 0.000 0.000 0.000 6.195 0.000 0.000 0.000 9.156" Properties=species:S:1:pos:R:3 pbc="T T T"
Ag 4.464 0.000 5.292
Ga 3.098 4.793 7.198
Er 3.098 3.098 4.578
Ga 1.403 3.098 1.957
Ag 4.829 3.098 8.441
Ga 3.098 1.403 7.198
Ga 4.500 0.000 2.621
Er 0.000 0.000 0.000
Ag 3.098 1.366 0.714
Ga 1.695 0.000 2.621
Ga 4.793 3.098 1.957
Ag 1.732 0.000 5.292
Ga 0.000 1.695 6.535
Ag 3.098 4.829 0.714
Ag 0.000 4.464 3.863
Ga 0.000 4.500 6.535
Ag 1.366 3.098 8.441
Ag 0.000 1.732 3.863
```

***

Rb2InB after structural relaxation, computed with PBE-GGA.

V: 47.414 Å³ per atom
crystal system: tetragonal
DFT formation energy: 2.0 eV/f.u.
energy above the lowest structure with this stoichiometry: 0.00 eV per formula unit
SG: No. 122

```
8
Lattice="-2.662 12.492 -3.813 -11.388 -4.126 -5.566 -8.049 4.527 -2.849" Properties=species:S:1:pos:R:3 pbc="T T T"
Rb -4.549 5.840 -3.002
B -7.025 4.183 -4.690
B -13.231 2.292 -6.552
In -8.868 10.601 -5.676
Rb -15.975 11.570 -9.192
Rb -10.013 2.699 -5.457
Rb -13.661 5.679 -6.805
In 0.000 0.000 0.000
```

***

Dy3HoO after structural relaxation, computed with PBE-GGA.

V: 23.929 Å³ per atom
crystal system: cubic
formation energy (no corrections): -5.5 eV per formula unit
SG: No. 221

```
5
Lattice="-2.196 3.637 -2.497 0.496 -2.568 -4.176 -4.383 -2.112 0.778" Properties=species:S:1:pos:R:3 pbc="T T T"
Dy -1.098 1.818 -1.248
Dy 0.248 -1.284 -2.088
Dy -2.192 -1.056 0.389
O 0.000 0.000 0.000
Ho -3.042 -0.522 -2.947
```

***

AcThScIn after structural relaxation, computed with PBE-GGA.

V: 29.931 Å³ per atom
crystal system: cubic
DFT formation energy: 0.2 eV/f.u.
SG: No. 216

```
4
Lattice="-5.513 -0.317 0.342 -2.492 -4.939 0.006 -2.381 -1.892 4.621" Properties=species:S:1:pos:R:3 pbc="T T T"
Ac -7.789 -5.361 3.726
Th -5.193 -3.574 2.484
Sc 0.000 0.000 0.000
In -2.596 -1.787 1.242
```

***

Th4ZnGa12 after structural relaxation, computed with PBE-GGA.

V: 20.797 Å³ per atom
crystal system: cubic
DFT formation energy: -7.8 eV/f.u.
SG: No. 229

```
17
Lattice="-6.838 3.134 -1.715 2.334 -4.445 -5.859 -0.664 -4.291 6.378" Properties=species:S:1:pos:R:3 pbc="T T T"
Ga 1.153 -6.034 0.359
Ga -2.320 -0.358 1.442
Ga -1.041 -4.657 1.425
Th -0.332 -2.145 3.189
Ga -4.878 -0.906 0.438
Th -2.584 -2.801 -0.598
Ga -0.291 -4.696 -1.634
Ga -3.112 -0.906 -5.231
Ga -3.334 -2.762 2.461
Ga -1.835 -2.839 -3.657
Th -3.419 1.567 -0.857
Ga 0.516 -2.702 0.161
Th 1.167 -2.222 -2.929
Ga -1.393 -0.405 -2.342
Zn 0.000 0.000 0.000
Ga -5.182 -0.799 3.221
Ga -4.128 -0.945 -2.621
```

***

What are the magnetization values for these records? In order: 0.000 1.212 0.508 0.000 0.000 0.000 0.000 0.000 μB/atom.
What are the electronic total energy values for these records? In order: -6.39 -4.21 -3.15 -3.23 -2.33 -5.77 -5.09 -4.42 eV/atom.